Na2CoMoO4 PBE+U relaxed; symmetry = P2/m, No. 10; total magnetization = 0.63 μB/atom; final energy = -47.02 eV/cell; crystal system = monoclinic
1.0
5.4240 0.0000 0.0000
0.0000 3.1620 0.0000
-1.8437 0.0000 5.4292
Na Co Mo O
2 1 1 4
Cartesian
0.0000 0.0000 0.0000 Na
2.7120 1.5810 0.0000 Na
-0.9219 1.5810 2.7146 Co
1.7901 0.0000 2.7146 Mo
0.0442 0.0000 3.7964 O
0.9580 1.5810 1.5588 O
2.6223 1.5810 3.8704 O
3.5361 0.0000 1.6328 O